# 1
This record from the Alexandria database describes a geometry-optimized ScCrMoIr2 structure. The functional is GGA-PBE.

Lattice parameters (Å, degrees): 4.576 4.576 4.599 90.00 90.00 90.00
Fractional positions:
Sc1 0.000 0.000 0.000
Cr1 0.500 0.500 0.500
Mo1 0.000 0.000 0.500
Ir1 0.000 0.500 0.000
Ir2 0.500 0.000 0.000

Summary:
As for the energy of formation: 936 kJ/mol of formula units. The total energy comes out at -6.961 eV/atom.

***

# 2
This record from the Alexandria database describes a geometry-optimized Rb2UMnSe5 structure. The functional is GGA-PBE.

Lattice parameters (Å, degrees): 10.360 10.360 14.459 90.00 90.00 156.58
Fractional positions:
Rb1 0.123 0.877 0.500
Rb2 0.124 0.876 0.861
Rb3 0.876 0.124 0.361
Rb4 0.877 0.123 0.000
U1 0.202 0.798 0.194
U2 0.798 0.202 0.694
Mn1 0.426 0.574 0.598
Mn2 0.574 0.426 0.098
Se1 0.063 0.937 0.188
Se2 0.303 0.697 0.819
Se3 0.306 0.694 0.561
Se4 0.329 0.671 0.182
Se5 0.490 0.510 0.467
Se6 0.510 0.490 0.967
Se7 0.671 0.329 0.682
Se8 0.694 0.306 0.061
Se9 0.697 0.303 0.319
Se10 0.937 0.063 0.688

Summary:
The value obtained for the formation energy without anion corrections is -966 meV per atom. The total energy comes out at -5.390 eV/atom.

***

# 3
This record from the Alexandria database describes a geometry-optimized CaTmSb2 structure. The functional is GGA-PBE.

Lattice parameters (Å, degrees): 7.503 7.503 7.503 35.39 35.39 35.39
Fractional positions:
Ca1 0.000 0.000 0.000
Tm1 0.827 0.827 0.827
Sb1 0.418 0.418 0.418
Sb2 0.576 0.576 0.576

Summary:
The value obtained for the formation energy without anion corrections is -822 meV per atom. The total energy comes out at -4.501 eV/atom. As for the excess energy over the best structure of this formula in the dataset: 0.0797 eV/atom.

***

# 4
This record from the Alexandria database describes a geometry-optimized KSiTe2 structure. The functional is GGA-PBE.

Lattice parameters (Å, degrees): 5.484 5.484 5.484 60.00 60.00 60.00
Fractional positions:
K1 0.000 0.000 0.000
Si1 0.250 0.250 0.250
Te1 0.500 0.500 0.500
Te2 0.750 0.750 0.750

Summary:
The value obtained for the formation energy without anion corrections is 318 meV per atom. The total energy comes out at -2.883 eV/atom.

***

> What is the formula in the first record?

ScCrMoIr2